No. 1
## CoMoCl2 (PBE)

Data for crystalline CoMoCl2 at its relaxed geometry.

abc: 7.037 7.037 4.172
angles: 86.00 86.00 24.93
Atoms (fractional coordinates):
Cl  0.881  0.881  0.031
Cl  0.619  0.619  0.469
Co  0.750  0.750  0.750
Mo  0.250  0.250  0.250

Calculated values
ΔE_f (raw)	0.01	eV per atom
Fermi-level density of states	2.65	states/eV/f.u.
offset from the most stable computed form	196	meV/atom
total magnetic moment	1.263	μB per formula unit
calculated volume	87	Å³/cell

No. 2
## CaMg2Re (PBE)

Data for crystalline CaMg2Re at its relaxed geometry.

abc: 4.907 4.907 4.907
angles: 60.00 60.00 60.00
Atoms (fractional coordinates):
Mg  0.000  0.000  0.000
Mg  0.250  0.250  0.250
Ca  0.500  0.500  0.500
Re  0.750  0.750  0.750

Calculated values
E_form	0.62	eV per atom
Fermi-level density of states	4.86	states/eV/f.u.
offset from the most stable computed form	211	meV/atom
total magnetic moment	0.804	μB per formula unit
calculated volume	84	Å³/cell

No. 3
## Cu2RuRhO8 (PBE)

Data for crystalline Cu2RuRhO8 at its relaxed geometry.

abc: 5.545 5.545 5.545
angles: 112.16 112.16 104.22
Atoms (fractional coordinates):
Cu  0.500  0.500  0.000
Cu  0.750  0.250  0.500
O  0.711  0.027  0.683
O  0.973  0.656  0.683
O  0.973  0.289  0.317
O  0.290  0.097  0.807
O  0.344  0.027  0.317
O  0.517  0.710  0.807
O  0.290  0.483  0.193
O  0.903  0.710  0.193
Ru  0.250  0.750  0.500
Rh  0.000  0.000  0.000

Calculated values
ΔE_f (raw)	-0.34	eV per atom
Fermi-level density of states	8.67	states/eV/f.u.
total magnetic moment	0.386	μB per formula unit
calculated volume	130	Å³/cell